No. 1
VASP calculation (PBE with a Hubbard U) on a relaxed Gd2CoO4 crystal.

Mass density = 7.079 Mg/m³
Magnetization = 6.00 Bohr magnetons per cell
Calculated volume = 205 Å³/cell
Energy = -105.1 eV for the cell shown
Symmetry = Fd-3m, No. 227

abc: 6.621 6.621 6.621
angles: 120.00 90.01 120.00
Atoms (fractional coordinates):
O 0.621 0.241 0.862
O 0.129 0.741 0.871
O 0.621 0.241 0.379
O 0.129 0.259 0.388
O 0.621 0.759 0.379
O 0.138 0.759 0.379
O 0.612 0.741 0.871
O 0.129 0.259 0.871
Gd 0.875 0.250 0.625
Gd 0.375 0.750 0.625
Gd 0.375 0.750 0.125
Gd 0.375 0.250 0.625
Co 0.000 0.000 0.000
Co 0.750 0.500 0.250

***

No. 2
VASP calculation (PBE with a Hubbard U) on a relaxed GdCoPO crystal.

Mass density = 5.886 Mg/m³
Magnetization = 6.00 Bohr magnetons per cell
Relative energy among the computed polymorphs = 371.2 meV per atom
Calculated volume = 148 Å³/cell
Energy = -51.5 eV for the cell shown
Symmetry = Pmc2_1, No. 26

abc: 4.312 5.992 5.747
angles: 90.00 90.00 90.00
Atoms (fractional coordinates):
O 0.000 0.162 0.887
O 0.000 0.838 0.387
Co 0.000 0.138 0.532
Co 0.000 0.862 0.032
P 0.500 0.265 0.418
P 0.500 0.735 0.918
Gd 0.500 0.736 0.418
Gd 0.500 0.264 0.918

***

No. 3
VASP calculation (PBE with a Hubbard U) on a relaxed GdCoPO crystal.

Mass density = 7.452 Mg/m³
Magnetization = 1.24 Bohr magnetons per cell
Relative energy among the computed polymorphs = 0.0 meV per atom
Calculated volume = 117 Å³/cell
Energy = -54.4 eV for the cell shown
Symmetry = P4/nmm, No. 129

abc: 3.868 3.868 7.838
angles: 90.00 90.00 90.00
Atoms (fractional coordinates):
Gd 0.000 0.500 0.148
Gd 0.500 0.000 0.852
Co 0.500 0.500 0.500
Co 0.000 0.000 0.500
O 0.000 0.000 0.000
O 0.500 0.500 0.000
P 0.500 0.000 0.367
P 0.000 0.500 0.633

***

No. 4
VASP calculation (PBE with a Hubbard U) on a relaxed GdCoPO crystal.

Mass density = 5.243 Mg/m³
Magnetization = 6.30 Bohr magnetons per cell
Relative energy among the computed polymorphs = 1424.4 meV per atom
Calculated volume = 167 Å³/cell
Energy = -43.0 eV for the cell shown
Symmetry = P4/nmm, No. 129

abc: 4.338 4.338 8.859
angles: 90.00 90.00 90.00
Atoms (fractional coordinates):
O 0.250 0.750 0.000
O 0.750 0.250 0.000
Co 0.250 0.250 0.982
Co 0.750 0.750 0.018
Gd 0.250 0.750 0.500
Gd 0.750 0.250 0.500
P 0.750 0.750 0.317
P 0.250 0.250 0.683

***

No. 5
VASP calculation (PBE with a Hubbard U) on a relaxed GdCoPO crystal.

Mass density = 7.365 Mg/m³
Magnetization = 3.96 Bohr magnetons per cell
Relative energy among the computed polymorphs = 354.4 meV per atom
Calculated volume = 119 Å³/cell
Energy = -51.6 eV for the cell shown
Symmetry = Pmc2_1, No. 26

abc: 4.343 4.018 6.800
angles: 90.00 90.00 90.00
Atoms (fractional coordinates):
P 0.000 0.258 0.273
P 0.000 0.742 0.773
Co 0.000 0.767 0.433
Co 0.000 0.233 0.933
Gd 0.500 0.251 0.606
Gd 0.500 0.749 0.106
O 0.500 0.250 0.942
O 0.500 0.750 0.442

***

No. 6
VASP calculation (PBE with a Hubbard U) on a relaxed RbGdCoO3 crystal.

Mass density = 5.757 Mg/m³
Magnetization = 6.00 Bohr magnetons per cell
Calculated volume = 202 Å³/cell
Energy = -76.0 eV for the cell shown
Symmetry = Cmcm, No. 63

abc: 6.447 6.447 9.193
angles: 90.00 90.00 31.86
Atoms (fractional coordinates):
O 0.962 0.962 0.250
O 0.611 0.611 0.060
O 0.038 0.038 0.750
O 0.611 0.611 0.440
O 0.389 0.389 0.560
O 0.389 0.389 0.940
Co 0.452 0.452 0.750
Co 0.548 0.548 0.250
Gd 0.000 0.000 0.500
Gd 0.000 0.000 0.000
Rb 0.272 0.272 0.250
Rb 0.728 0.728 0.750

***

No. 7
VASP calculation (PBE with a Hubbard U) on a relaxed Gd4CoSe4O4 crystal.

Mass density = 6.997 Mg/m³
Magnetization = 3.00 Bohr magnetons per cell
Calculated volume = 253 Å³/cell
Energy = -87.8 eV for the cell shown
Symmetry = C2/m, No. 12

abc: 7.522 7.522 10.898
angles: 123.95 123.95 30.25
Atoms (fractional coordinates):
Gd 0.217 0.217 0.341
Gd 0.783 0.783 0.659
Gd 0.479 0.479 0.243
Gd 0.521 0.521 0.757
O 0.975 0.975 0.800
O 0.025 0.025 0.200
O 0.333 0.333 0.596
O 0.667 0.667 0.404
Se 0.659 0.659 0.087
Se 0.901 0.901 0.378
Se 0.341 0.341 0.913
Se 0.099 0.099 0.622
Co 0.000 0.000 0.000

***

No. 8
VASP calculation (PBE with a Hubbard U) on a relaxed SrGd2Co2O7 crystal.

Mass density = 7.447 Mg/m³
Magnetization = 16.00 Bohr magnetons per cell
Calculated volume = 564 Å³/cell
Energy = -335.6 eV for the cell shown
Symmetry = P4_2/mnm, No. 136

abc: 5.385 5.385 19.439
angles: 90.00 90.00 90.00
Atoms (fractional coordinates):
O 0.778 0.222 0.000
O 0.000 0.500 0.107
O 0.705 0.295 0.793
O 0.000 0.000 0.121
O 0.500 0.000 0.607
O 0.205 0.205 0.707
O 0.000 0.000 0.407
O 0.295 0.705 0.793
O 0.500 0.500 0.621
O 0.000 0.500 0.607
O 0.000 0.000 0.593
O 0.705 0.295 0.207
O 0.795 0.795 0.293
O 0.500 0.000 0.893
O 0.000 0.000 0.879
O 0.000 0.500 0.393
O 0.500 0.000 0.393
O 0.500 0.500 0.907
O 0.722 0.722 0.500
O 0.795 0.795 0.707
O 0.295 0.705 0.207
O 0.278 0.278 0.500
O 0.500 0.500 0.379
O 0.205 0.205 0.293
O 0.000 0.500 0.893
O 0.500 0.000 0.107
O 0.222 0.778 0.000
O 0.500 0.500 0.093
Co 0.753 0.247 0.900
Co 0.253 0.253 0.400
Co 0.753 0.247 0.100
Co 0.747 0.747 0.600
Co 0.253 0.253 0.600
Co 0.747 0.747 0.400
Co 0.247 0.753 0.900
Co 0.247 0.753 0.100
Sr 0.754 0.246 0.500
Sr 0.246 0.754 0.500
Sr 0.746 0.746 0.000
Sr 0.254 0.254 0.000
Gd 0.231 0.769 0.681
Gd 0.769 0.231 0.319
Gd 0.769 0.231 0.681
Gd 0.231 0.769 0.319
Gd 0.269 0.269 0.819
Gd 0.269 0.269 0.181
Gd 0.731 0.731 0.181
Gd 0.731 0.731 0.819

***

No. 9
VASP calculation (PBE with a Hubbard U) on a relaxed GdCoTeO crystal.

Mass density = 6.152 Mg/m³
Magnetization = 5.17 Bohr magnetons per cell
Relative energy among the computed polymorphs = 1189.6 meV per atom
Calculated volume = 194 Å³/cell
Energy = -42.2 eV for the cell shown
Symmetry = R-3m, No. 166

abc: 5.274 5.274 8.617
angles: 72.18 107.82 120.00
Atoms (fractional coordinates):
Te 0.091 0.909 0.274
Te 0.909 0.091 0.726
Gd 0.229 0.771 0.686
Gd 0.771 0.229 0.314
Co 0.613 0.387 0.839
Co 0.387 0.613 0.161
O 0.311 0.689 0.934
O 0.689 0.311 0.066

***

No. 10
VASP calculation (PBE with a Hubbard U) on a relaxed GdCoTeO crystal.

Mass density = 7.288 Mg/m³
Magnetization = 4.00 Bohr magnetons per cell
Relative energy among the computed polymorphs = 485.5 meV per atom
Calculated volume = 164 Å³/cell
Energy = -47.8 eV for the cell shown
Symmetry = R-3m, No. 166

abc: 11.159 11.159 11.159
angles: 21.53 21.53 21.53
Atoms (fractional coordinates):
Gd 0.292 0.292 0.292
Gd 0.708 0.708 0.708
Co 0.539 0.539 0.539
Co 0.461 0.461 0.461
O 0.641 0.641 0.641
O 0.359 0.359 0.359
Te 0.108 0.108 0.108
Te 0.892 0.892 0.892

***

No. 11
VASP calculation (PBE with a Hubbard U) on a relaxed GdCoTeO crystal.

Mass density = 6.318 Mg/m³
Magnetization = 4.80 Bohr magnetons per cell
Relative energy among the computed polymorphs = 1207.2 meV per atom
Calculated volume = 189 Å³/cell
Energy = -42.0 eV for the cell shown
Symmetry = R-3m, No. 166

abc: 8.594 8.594 8.594
angles: 35.28 35.28 35.28
Atoms (fractional coordinates):
Co 0.383 0.383 0.383
Co 0.617 0.617 0.617
Te 0.914 0.914 0.914
Te 0.086 0.086 0.086
Gd 0.224 0.224 0.224
Gd 0.776 0.776 0.776
O 0.694 0.694 0.694
O 0.306 0.306 0.306

***

No. 12
VASP calculation (PBE with a Hubbard U) on a relaxed GdCoTeO crystal.

Mass density = 6.210 Mg/m³
Magnetization = 4.75 Bohr magnetons per cell
Relative energy among the computed polymorphs = 1186.6 meV per atom
Calculated volume = 192 Å³/cell
Energy = -42.2 eV for the cell shown
Symmetry = R-3m, No. 166

abc: 8.605 8.605 8.605
angles: 35.54 35.54 35.54
Atoms (fractional coordinates):
O 0.315 0.315 0.315
O 0.685 0.685 0.685
Co 0.390 0.390 0.390
Co 0.610 0.610 0.610
Te 0.904 0.904 0.904
Te 0.096 0.096 0.096
Gd 0.233 0.233 0.233
Gd 0.767 0.767 0.767

***

No. 13
VASP calculation (PBE with a Hubbard U) on a relaxed GdCoTeO crystal.

Mass density = 7.575 Mg/m³
Magnetization = 3.24 Bohr magnetons per cell
Relative energy among the computed polymorphs = 0.0 meV per atom
Calculated volume = 158 Å³/cell
Energy = -51.7 eV for the cell shown
Symmetry = R-3m, No. 166

abc: 4.186 4.186 10.673
angles: 78.69 101.31 120.00
Atoms (fractional coordinates):
O 0.362 0.638 0.085
O 0.638 0.362 0.915
Co 0.432 0.568 0.297
Co 0.568 0.432 0.703
Te 0.118 0.882 0.353
Te 0.882 0.118 0.647
Gd 0.710 0.290 0.131
Gd 0.290 0.710 0.869